! ErMoClO4 (PBE with a Hubbard U, optimized geometry); values from VASP
! D(E_F), states/eV/f.u.: 0.00
! SG: C2/m (12)
! Total DFT energy (no corrections), eV/atom: -7.04
&SYSTEM
  ibrav = 0, nat = 14, ntyp = 4
/
ATOMIC_SPECIES
Er 167.26 Er.upf
Mo 95.94 Mo.upf
Cl 35.45 Cl.upf
O 16.00 O.upf
ATOMIC_POSITIONS crystal
Er 0.222 0.222 0.113
Er 0.778 0.778 0.887
Mo 0.362 0.362 0.731
Mo 0.638 0.638 0.269
Cl 0.011 0.011 0.769
Cl 0.989 0.989 0.231
O 0.107 0.491 0.846
O 0.293 0.293 0.463
O 0.456 0.456 0.201
O 0.491 0.107 0.846
O 0.509 0.893 0.154
O 0.544 0.544 0.799
O 0.707 0.707 0.537
O 0.893 0.509 0.154
CELL_PARAMETERS angstrom
5.122 -3.637 0.000
5.122 3.637 0.000
-2.072 0.000 6.584